No. 1
First-principles (PBE) data for crystalline TmAl5 at its relaxed geometry, as listed in Alexandria.

a = 4.374 Å, b = 5.663 Å, c = 5.663 Å
α = 63.96°, β = 67.28°, γ = 67.28°
Positions (direct):
Tm 0.500 0.000 0.000
Al 0.837 0.898 0.429
Al 0.500 0.500 0.500
Al 0.163 0.102 0.571
Al 0.163 0.571 0.102
Al 0.837 0.429 0.898

## Properties
Size of the total moment in μB per cell: 0.0
SG: Immm
Calculated formation energy in eV/atom: -0.22
DOS(E_F) in states/eV/f.u.: 1.87
VASP energy in eV/atom: -4.08
Volume in Å³/f.u.: 112.2

No. 2
First-principles (PBE) data for crystalline TmAl4 at its relaxed geometry, as listed in Alexandria.

a = 5.519 Å, b = 5.519 Å, c = 5.519 Å
α = 90.00°, β = 90.00°, γ = 90.00°
Positions (direct):
Tm 0.500 0.500 0.500
Al 0.000 0.000 0.000
Al 0.500 0.000 0.500
Al 0.000 0.500 0.500
Al 0.500 0.500 0.000

## Properties
Size of the total moment in μB per cell: 0.0
SG: Pm-3m
Calculated formation energy in eV/atom: 1.20
DOS(E_F) in states/eV/f.u.: 4.94
VASP energy in eV/atom: -2.69
Volume in Å³/f.u.: 168.1

No. 3
First-principles (PBE) data for crystalline Tm3Al at its relaxed geometry, as listed in Alexandria.

a = 6.707 Å, b = 6.707 Å, c = 5.272 Å
α = 90.00°, β = 90.00°, γ = 120.00°
Positions (direct):
Tm 0.827 0.173 0.750
Tm 0.347 0.173 0.750
Tm 0.827 0.653 0.750
Tm 0.173 0.827 0.250
Tm 0.653 0.827 0.250
Tm 0.173 0.347 0.250
Al 0.667 0.333 0.250
Al 0.333 0.667 0.750

## Properties
Size of the total moment in μB per cell: 0.0
SG: P6_3/mmc
Calculated formation energy in eV/atom: -0.20
DOS(E_F) in states/eV/f.u.: 4.28
VASP energy in eV/atom: -4.49
Volume in Å³/f.u.: 102.7

No. 4
First-principles (PBE) data for crystalline TmAl2 at its relaxed geometry, as listed in Alexandria.

a = 5.513 Å, b = 5.513 Å, c = 5.513 Å
α = 60.00°, β = 60.00°, γ = 60.00°
Positions (direct):
Tm 0.750 0.750 0.750
Tm 0.500 0.500 0.500
Al 0.125 0.625 0.125
Al 0.125 0.125 0.625
Al 0.625 0.125 0.125
Al 0.125 0.125 0.125

## Properties
Size of the total moment in μB per cell: 0.0
SG: Fd-3m
Calculated formation energy in eV/atom: -0.51
DOS(E_F) in states/eV/f.u.: 1.89
VASP energy in eV/atom: -4.49
Volume in Å³/f.u.: 59.2

No. 5
First-principles (PBE) data for crystalline Tm2Al at its relaxed geometry, as listed in Alexandria.

a = 3.395 Å, b = 3.395 Å, c = 7.021 Å
α = 103.99°, β = 103.99°, γ = 90.00°
Positions (direct):
Tm 0.650 0.650 0.300
Tm 0.350 0.350 0.700
Al 0.000 0.000 0.000

## Properties
Size of the total moment in μB per cell: 0.0
SG: I4/mmm
Calculated formation energy in eV/atom: -0.26
DOS(E_F) in states/eV/f.u.: 2.26
VASP energy in eV/atom: -4.49
Volume in Å³/f.u.: 76.1

No. 6
First-principles (PBE) data for crystalline Tm3Al at its relaxed geometry, as listed in Alexandria.

a = 5.271 Å, b = 5.271 Å, c = 5.271 Å
α = 60.00°, β = 60.00°, γ = 60.00°
Positions (direct):
Tm 0.000 0.000 0.000
Tm 0.750 0.750 0.750
Tm 0.250 0.250 0.250
Al 0.500 0.500 0.500

## Properties
Size of the total moment in μB per cell: 0.0
SG: Fm-3m
Calculated formation energy in eV/atom: -0.06
DOS(E_F) in states/eV/f.u.: 4.96
VASP energy in eV/atom: -4.35
Volume in Å³/f.u.: 103.5

Question: Which value of volume does entry 3 give?
Answer: 102.7 Å³/f.u.